! PBE LuGeMo, optimized geometry; values from VASP
&SYSTEM
  ibrav = 0, nat = 3, ntyp = 3
/
ATOMIC_SPECIES
Lu 174.97 Lu.upf
Ge 72.64 Ge.upf
Mo 95.94 Mo.upf
ATOMIC_POSITIONS crystal
Lu 0.000 0.000 0.000
Ge 0.250 0.250 0.250
Mo 0.500 0.500 0.500
CELL_PARAMETERS angstrom
0.000 3.147 3.147
3.147 0.000 3.147
3.147 3.147 0.000
! E: -19.91 eV/cell
! SG: F-43m (216)